No. 1
! PBE Li4H3BrO3, optimized geometry; values from VASP
! M_tot in μB/cell: 0.00
! VASP energy in eV per atom: -4.69
&SYSTEM
  ibrav = 0, nat = 22, ntyp = 4
/
ATOMIC_SPECIES
Br 79.90 Br.upf
H 1.01 H.upf
Li 6.94 Li.upf
O 16.00 O.upf
CELL_PARAMETERS angstrom
7.6517 0.0000 0.0000
0.0000 5.4833 -0.0043
0.0000 0.4651 6.5497
ATOMIC_POSITIONS angstrom
Br 1.9129 4.7252 2.1528
Br 5.7388 1.2231 4.3925
H 1.9129 1.2278 4.1558
H 5.7388 4.7205 2.3896
H 0.2354 1.1575 1.4920
H 4.0613 4.7909 5.0534
H 7.4162 4.7909 5.0534
H 3.5904 1.1575 1.4920
Li 1.9129 5.5067 6.0305
Li 5.7388 0.4416 0.5149
Li 1.9129 3.6274 4.4908
Li 5.7388 2.3210 2.0546
Li 0.1610 2.3258 5.6622
Li 3.9868 3.6226 0.8831
Li 7.4907 3.6226 0.8831
Li 3.6649 2.3258 5.6622
O 1.9129 1.7132 5.0026
O 5.7388 4.2351 1.5427
O 0.4195 4.2932 5.5766
O 4.2454 1.6551 0.9687
O 7.2321 1.6551 0.9687
O 3.4063 4.2932 5.5766

No. 2
! PBE SrLiTeHOsBr, optimized geometry; values from VASP
! Energy above the lowest structure with this stoichiometry in meV per atom: 223.8
! M_tot in μB/cell: 1.49
&SYSTEM
  ibrav = 0, nat = 12, ntyp = 6
/
ATOMIC_SPECIES
Sr 87.62 Sr.upf
Li 6.94 Li.upf
Te 127.60 Te.upf
H 1.01 H.upf
Os 190.23 Os.upf
Br 79.90 Br.upf
CELL_PARAMETERS angstrom
4.5029 0.0000 0.0009
0.0000 4.6188 0.0000
-1.0381 0.0000 13.0317
ATOMIC_POSITIONS angstrom
Sr 1.3193 0.0000 12.0616
Sr 1.8384 2.3094 5.5458
Li -0.7291 0.0000 9.3515
Li -0.2101 2.3094 2.8357
Te 2.1084 0.0000 2.8763
Te 1.5893 2.3094 9.3922
H 1.1724 0.0000 5.4013
H 0.6533 2.3094 11.9172
Os -0.0622 0.0000 4.3315
Os -0.5813 2.3094 10.8473
Br 3.4509 0.0000 6.7521
Br 3.9700 2.3094 0.2362

No. 3
! PBE SrLiTeHOsBr, optimized geometry; values from VASP
! Energy above the lowest structure with this stoichiometry in meV per atom: 164.5
! M_tot in μB/cell: 1.04
&SYSTEM
  ibrav = 0, nat = 12, ntyp = 6
/
ATOMIC_SPECIES
Sr 87.62 Sr.upf
Li 6.94 Li.upf
Te 127.60 Te.upf
H 1.01 H.upf
Os 190.23 Os.upf
Br 79.90 Br.upf
CELL_PARAMETERS angstrom
-0.4110 2.4024 2.7783
1.2487 -2.4017 2.2615
17.2266 6.2594 -2.8642
ATOMIC_POSITIONS angstrom
Sr 16.1003 5.8501 -2.6769
Sr 8.1113 1.5196 -0.1141
Li 2.5566 2.2048 0.9299
Li 11.7942 4.1336 0.6286
Te 13.0260 4.7331 -2.1658
Te 5.0371 0.4025 0.3971
H 6.8028 3.7477 0.2239
H 16.0404 5.6765 -0.0774
Os 5.2141 3.1704 0.4880
Os 14.4517 5.0993 0.1867
Br 9.3751 4.6823 -0.2038
Br 1.3861 0.3518 2.3591

No. 4
! PBE SrLiTeHOsBr, optimized geometry; values from VASP
! Energy above the lowest structure with this stoichiometry in meV per atom: 258.9
! M_tot in μB/cell: 0.00
&SYSTEM
  ibrav = 0, nat = 6, ntyp = 6
/
ATOMIC_SPECIES
Sr 87.62 Sr.upf
Li 6.94 Li.upf
Te 127.60 Te.upf
H 1.01 H.upf
Os 190.23 Os.upf
Br 79.90 Br.upf
CELL_PARAMETERS angstrom
-0.8229 0.0117 4.0172
2.0218 -2.5358 2.5138
5.2889 7.3284 3.1515
ATOMIC_POSITIONS angstrom
Sr 6.0713 3.9698 7.5939
Li 1.7365 0.9057 4.6298
Te 2.7717 3.1788 2.7405
H 4.5756 5.7891 7.2830
Os 3.8110 2.9740 5.0467
Br 2.1155 -0.7869 2.6172

No. 5
! PBE SrLiTeHOsBr, optimized geometry; values from VASP
! Energy above the lowest structure with this stoichiometry in meV per atom: 177.0
! M_tot in μB/cell: 0.00
&SYSTEM
  ibrav = 0, nat = 6, ntyp = 6
/
ATOMIC_SPECIES
Sr 87.62 Sr.upf
Li 6.94 Li.upf
Te 127.60 Te.upf
H 1.01 H.upf
Os 190.23 Os.upf
Br 79.90 Br.upf
CELL_PARAMETERS angstrom
-1.8380 3.8511 -1.5600
-3.5584 -1.8712 -0.4269
-0.8979 0.0340 7.3360
ATOMIC_POSITIONS angstrom
Sr -0.9935 0.4434 6.3385
Li -3.7351 2.3438 1.7157
Te -1.0268 1.2967 2.8759
H -4.0603 2.5273 3.6228
Os -3.3390 1.0610 4.0372
Br -3.0679 1.6476 -0.7942

No. 6
! PBE SrLiTeHOsBr, optimized geometry; values from VASP
! Energy above the lowest structure with this stoichiometry in meV per atom: 52.3
! M_tot in μB/cell: 0.00
&SYSTEM
  ibrav = 0, nat = 12, ntyp = 6
/
ATOMIC_SPECIES
Sr 87.62 Sr.upf
Li 6.94 Li.upf
Te 127.60 Te.upf
H 1.01 H.upf
Os 190.23 Os.upf
Br 79.90 Br.upf
CELL_PARAMETERS angstrom
8.6849 0.0000 -0.0249
0.0000 4.4298 0.0000
-2.2683 0.0000 7.3717
ATOMIC_POSITIONS angstrom
Sr -0.6670 0.0000 4.1543
Sr 0.4672 2.2149 0.4685
Li 3.0476 0.0000 5.2863
Li 4.1818 2.2149 1.6004
Te 0.7875 0.0000 7.2895
Te 1.9217 2.2149 3.6037
H 3.9993 0.0000 2.8953
H 2.8652 2.2149 6.5811
Os 2.4192 0.0000 2.4047
Os 1.2851 2.2149 6.0905
Br 5.5685 0.0000 6.0591
Br 6.7026 2.2149 2.3732

No. 7
! PBE SrLiTeHOsBr, optimized geometry; values from VASP
! Energy above the lowest structure with this stoichiometry in meV per atom: 72.6
! M_tot in μB/cell: 0.00
&SYSTEM
  ibrav = 0, nat = 6, ntyp = 6
/
ATOMIC_SPECIES
Sr 87.62 Sr.upf
Li 6.94 Li.upf
Te 127.60 Te.upf
H 1.01 H.upf
Os 190.23 Os.upf
Br 79.90 Br.upf
CELL_PARAMETERS angstrom
-1.1222 0.5723 4.1585
1.1043 -4.0360 -1.4168
7.8655 3.1580 1.6630
ATOMIC_POSITIONS angstrom
Sr 6.2144 2.8966 3.1964
Li 2.1457 -0.8154 2.6380
Te 4.5763 0.9382 0.7532
H 6.3356 0.3558 3.5793
Os 4.7235 0.0613 3.1834
Br 1.2070 -1.4873 0.2040

No. 8
! PBE SrLiTeHOsBr, optimized geometry; values from VASP
! Energy above the lowest structure with this stoichiometry in meV per atom: 0.0
! M_tot in μB/cell: 0.00
&SYSTEM
  ibrav = 0, nat = 12, ntyp = 6
/
ATOMIC_SPECIES
Sr 87.62 Sr.upf
Li 6.94 Li.upf
Te 127.60 Te.upf
H 1.01 H.upf
Os 190.23 Os.upf
Br 79.90 Br.upf
CELL_PARAMETERS angstrom
8.5309 0.0000 -0.0043
0.0000 4.4461 0.0000
-2.3419 0.0000 7.3775
ATOMIC_POSITIONS angstrom
Sr 6.7510 0.0000 1.6509
Sr 5.5801 2.2230 5.3397
Li 3.1851 0.0000 0.5121
Li 2.0141 2.2230 4.2008
Te 2.7960 0.0000 5.8013
Te 3.9670 2.2230 2.1125
H 5.5394 0.0000 3.9685
H 6.7103 2.2230 0.2798
Os 3.9636 0.0000 3.4720
Os 2.7927 2.2230 7.1607
Br -1.6041 0.0000 7.1292
Br -0.4332 2.2230 3.4405

No. 9
! PBE SrLiTeHOsBr, optimized geometry; values from VASP
! Energy above the lowest structure with this stoichiometry in meV per atom: 74.5
! M_tot in μB/cell: 0.00
&SYSTEM
  ibrav = 0, nat = 6, ntyp = 6
/
ATOMIC_SPECIES
Sr 87.62 Sr.upf
Li 6.94 Li.upf
Te 127.60 Te.upf
H 1.01 H.upf
Os 190.23 Os.upf
Br 79.90 Br.upf
CELL_PARAMETERS angstrom
-2.2121 -0.7216 -3.4200
-1.8426 -0.0465 3.7032
-1.6955 8.6790 -0.7346
ATOMIC_POSITIONS angstrom
Sr -0.2093 1.0711 -0.0907
Li -3.2734 5.5667 -1.5589
Te -0.8386 4.2926 -0.3633
H -2.3934 1.0620 -1.1776
Os -2.7230 2.7490 -1.3204
Br -3.4450 7.3005 0.6879

No. 10
! PBE SrLiTeHOsBr, optimized geometry; values from VASP
! Energy above the lowest structure with this stoichiometry in meV per atom: 42.3
! M_tot in μB/cell: 0.00
&SYSTEM
  ibrav = 0, nat = 18, ntyp = 6
/
ATOMIC_SPECIES
Sr 87.62 Sr.upf
Li 6.94 Li.upf
Te 127.60 Te.upf
H 1.01 H.upf
Os 190.23 Os.upf
Br 79.90 Br.upf
CELL_PARAMETERS angstrom
-3.3992 2.8311 0.2532
0.1472 -3.5299 2.6743
12.5499 13.5323 17.1709
ATOMIC_POSITIONS angstrom
Sr 8.9962 9.7004 12.3086
Sr 3.7780 3.7801 8.4523
Sr -1.5875 1.3896 1.9216
Li 10.8997 11.7529 14.9131
Li 5.6815 5.8326 11.0567
Li 0.3161 3.4422 4.5261
Te 6.0918 6.5687 8.3349
Te 0.8736 0.6483 4.4785
Te 8.0581 11.7902 15.1187
H 0.8950 0.9651 1.2246
H 8.2268 8.5771 14.5391
H 2.8613 6.1866 8.0084
Os 1.7055 1.8390 2.3335
Os 9.0372 9.4510 15.6480
Os 3.6718 7.0606 9.1174
Br 12.1682 13.1207 16.6486
Br 6.9500 7.2004 12.7922
Br 1.5845 4.8099 6.2616

No. 11
! PBE SrLiTeHOsBr, optimized geometry; values from VASP
! Energy above the lowest structure with this stoichiometry in meV per atom: 192.8
! M_tot in μB/cell: 0.00
&SYSTEM
  ibrav = 0, nat = 6, ntyp = 6
/
ATOMIC_SPECIES
Sr 87.62 Sr.upf
Li 6.94 Li.upf
Te 127.60 Te.upf
H 1.01 H.upf
Os 190.23 Os.upf
Br 79.90 Br.upf
CELL_PARAMETERS angstrom
4.8489 0.0514 -0.0002
2.2429 5.1175 -0.0494
0.0207 0.5495 6.0597
ATOMIC_POSITIONS angstrom
Sr 6.4724 5.3476 5.8963
Li 1.5017 1.5731 2.4709
Te 4.1519 3.9684 3.0554
H 4.2027 0.9979 2.2991
Os 6.5725 4.6209 2.8893
Br 1.7752 2.1317 5.9091

No. 12
! PBE SrLiTeHOsBr, optimized geometry; values from VASP
! Energy above the lowest structure with this stoichiometry in meV per atom: 108.4
! M_tot in μB/cell: 0.00
&SYSTEM
  ibrav = 0, nat = 6, ntyp = 6
/
ATOMIC_SPECIES
Sr 87.62 Sr.upf
Li 6.94 Li.upf
Te 127.60 Te.upf
H 1.01 H.upf
Os 190.23 Os.upf
Br 79.90 Br.upf
CELL_PARAMETERS angstrom
-1.8392 -0.1477 -3.9809
-1.2881 -4.0448 -1.1390
-8.5104 -0.0231 1.6413
ATOMIC_POSITIONS angstrom
Sr -10.1152 -2.3645 -3.0783
Li -4.7106 -2.8871 -0.7502
Te -7.1384 -4.0029 -1.7397
H -7.8345 -2.4216 -3.5754
Os -7.1220 -1.4913 -2.4438
Br -2.4898 -3.4044 -1.8572